# 1
Computed, not measured: an optimized crystal structure of CuRuCl2 at the PBE level of DFT.

Unit cell a=4.8988 b=4.8988 c=3.0852 alpha=90.16 beta=90.16 gamma=101.34
Element x y z (fractional)
Cu: 0.0000 0.0000 0.0000
Ru: 0.5000 0.5000 0.0000
Cl: 0.0000 0.5000 0.0000
Cl: 0.5000 0.0000 0.0000

final energy = -3.8768 eV/atom
V = 18.1 Å³/atom
ρ = 5387 kg/m³
space group = C2/m
energy relative to the elements, uncorrected = 0.39 eV per atom


# 2
Computed, not measured: an optimized crystal structure of Ba6Hg2RhCl at the PBE level of DFT.

Unit cell a=7.9797 b=8.9555 c=14.3462 alpha=90.00 beta=123.59 gamma=90.00
Element x y z (fractional)
Ba: 0.1007 0.1982 0.4361
Ba: 0.1007 0.3018 0.9361
Ba: 0.2576 0.6721 0.4378
Ba: 0.2576 0.8279 0.9378
Ba: 0.3711 0.0340 0.2408
Ba: 0.3711 0.4660 0.7408
Ba: 0.6289 0.5340 0.2592
Ba: 0.6289 0.9660 0.7592
Ba: 0.7424 0.1721 0.0622
Ba: 0.7424 0.3279 0.5622
Ba: 0.8993 0.6982 0.0639
Ba: 0.8993 0.8018 0.5639
Hg: 0.1979 0.1063 0.7454
Hg: 0.1979 0.3937 0.2454
Hg: 0.8021 0.6063 0.7546
Hg: 0.8021 0.8937 0.2546
Rh: 0.0000 0.0000 0.0000
Rh: 0.0000 0.5000 0.5000
Cl: 0.5000 0.0000 0.5000
Cl: 0.5000 0.5000 0.0000

final energy = -2.7927 eV/atom
V = 42.7 Å³/atom
ρ = 5302 kg/m³
space group = P2_1/c
energy relative to the elements, uncorrected = -0.66 eV per atom


# 3
Computed, not measured: an optimized crystal structure of CeSnCl at the PBE level of DFT.

Unit cell a=4.3846 b=4.3846 c=8.7508 alpha=90.00 beta=90.00 gamma=90.00
Element x y z (fractional)
Ce: 0.2500 0.2500 0.2204
Ce: 0.7500 0.7500 0.7796
Sn: 0.2500 0.2500 0.5807
Sn: 0.7500 0.7500 0.4193
Cl: 0.2500 0.7500 0.0000
Cl: 0.7500 0.2500 0.0000

final energy = -4.9729 eV/atom
V = 28.0 Å³/atom
ρ = 5809 kg/m³
space group = P4/nmm
energy relative to the elements, uncorrected = -1.05 eV per atom


# 4
Computed, not measured: an optimized crystal structure of KGa2F at the PBE level of DFT.

Unit cell a=15.8722 b=15.8722 c=15.8722 alpha=166.60 beta=166.60 gamma=18.99
Element x y z (fractional)
K: 0.0000 0.0000 0.0000
K: 0.7500 0.2500 0.5000
Ga: 0.1260 0.6250 0.0010
Ga: 0.3750 0.3760 0.5010
Ga: 0.6240 0.1250 0.9990
Ga: 0.8750 0.8740 0.4990
F: 0.2500 0.7500 0.5000
F: 0.5000 0.5000 0.0000

final energy = -3.2990 eV/atom
V = 26.8 Å³/atom
ρ = 3056 kg/m³
space group = I-42d
energy relative to the elements, uncorrected = -1.04 eV per atom


# 5
Computed, not measured: an optimized crystal structure of Cd2ReAu at the PBE level of DFT.

Unit cell a=4.7101 b=4.7101 c=4.7101 alpha=60.00 beta=60.00 gamma=60.00
Element x y z (fractional)
Cd: 0.2500 0.2500 0.2500
Cd: 0.7500 0.7500 0.7500
Re: 0.0000 0.0000 0.0000
Au: 0.5000 0.5000 0.5000

final energy = -3.6839 eV/atom
V = 18.5 Å³/atom
ρ = 13664 kg/m³
space group = Fm-3m
ΔE_f = 0.705 eV/atom


# 6
Computed, not measured: an optimized crystal structure of CeScTl at the PBE level of DFT.

Unit cell a=7.2171 b=7.2171 c=7.2171 alpha=152.45 beta=152.45 gamma=39.35
Element x y z (fractional)
Ce: 0.0000 0.0000 0.0000
Sc: 0.3208 0.3208 0.0000
Tl: 0.6767 0.6767 0.0000

final energy = -4.9883 eV/atom
V = 26.7 Å³/atom
ρ = 8059 kg/m³
space group = I4mm
ΔE_f = -0.111 eV/atom


# 7
Computed, not measured: an optimized crystal structure of Sb2Rh2Se at the PBE level of DFT.

Unit cell a=6.7149 b=6.7149 c=6.7149 alpha=143.52 beta=143.52 gamma=52.54
Element x y z (fractional)
Sb: 0.1205 0.1205 0.0000
Sb: 0.8795 0.8795 0.0000
Rh: 0.2500 0.7500 0.5000
Rh: 0.7500 0.2500 0.5000
Se: 0.5000 0.5000 0.0000

final energy = -5.3575 eV/atom
V = 21.3 Å³/atom
ρ = 8246 kg/m³
space group = I4/mmm
energy relative to the elements, uncorrected = -0.07 eV per atom


# 8
Computed, not measured: an optimized crystal structure of LaSe3S at the PBE level of DFT.

Unit cell a=4.9278 b=4.9278 c=4.9278 alpha=90.00 beta=90.00 gamma=90.00
Element x y z (fractional)
La: 0.0000 0.0000 0.0000
Se: 0.0000 0.5000 0.5000
Se: 0.5000 0.0000 0.5000
Se: 0.5000 0.5000 0.0000
S: 0.5000 0.5000 0.5000

final energy = -4.5714 eV/atom
V = 23.9 Å³/atom
ρ = 5660 kg/m³
space group = Pm-3m
energy relative to the elements, uncorrected = -0.67 eV per atom